Version a
GGA-PBE KTaBePt, relaxed; magnetization = 0.00 μB/f.u.; symmetry = F-43m
1.0
6.6640 0.0000 0.0000
0.0000 6.6640 0.0000
0.0000 0.0000 6.6640
K Ta Be Pt
4 4 4 4
Direct
0.0000 0.0000 0.0000
0.0000 0.5000 0.5000
0.5000 0.0000 0.5000
0.5000 0.5000 0.0000
0.0000 0.0000 0.5000
0.0000 0.5000 0.0000
0.5000 0.0000 0.0000
0.5000 0.5000 0.5000
0.2500 0.2500 0.7500
0.2500 0.7500 0.2500
0.7500 0.2500 0.2500
0.7500 0.7500 0.7500
0.2500 0.2500 0.2500
0.2500 0.7500 0.7500
0.7500 0.2500 0.7500
0.7500 0.7500 0.2500

=====

Version b
GGA-PBE KTaBePt, relaxed; magnetization = 0.00 μB/f.u.; symmetry = F-43m
1.0
6.4336 0.0000 0.0000
0.0000 6.4336 0.0000
0.0000 0.0000 6.4336
K Ta Be Pt
4 4 4 4
Direct
0.0000 0.0000 0.0000
0.0000 0.5000 0.5000
0.5000 0.0000 0.5000
0.5000 0.5000 0.0000
0.2500 0.2500 0.7500
0.2500 0.7500 0.2500
0.7500 0.2500 0.2500
0.7500 0.7500 0.7500
0.2500 0.2500 0.2500
0.2500 0.7500 0.7500
0.7500 0.2500 0.7500
0.7500 0.7500 0.2500
0.0000 0.0000 0.5000
0.0000 0.5000 0.0000
0.5000 0.0000 0.0000
0.5000 0.5000 0.5000

=====

Energy ordering: version b at the bottom, the next structure 232 meV/atom above.

=====

Version a
GGA-PBE KBeRe, relaxed; magnetization = 2.14 μB/f.u.; symmetry = F-43m
1.0
6.3432 0.0000 0.0000
0.0000 6.3432 0.0000
0.0000 0.0000 6.3432
K Be Re
4 4 4
Direct
0.0000 0.0000 0.0000
0.0000 0.5000 0.5000
0.5000 0.0000 0.5000
0.5000 0.5000 0.0000
0.2500 0.2500 0.2500
0.2500 0.7500 0.7500
0.7500 0.2500 0.7500
0.7500 0.7500 0.2500
0.0000 0.0000 0.5000
0.0000 0.5000 0.0000
0.5000 0.0000 0.0000
0.5000 0.5000 0.5000

=====

Version b
GGA-PBE KBeRe, relaxed; magnetization = 2.00 μB/f.u.; symmetry = F-43m
1.0
6.4020 0.0000 0.0000
0.0000 6.4020 0.0000
0.0000 0.0000 6.4020
K Be Re
4 4 4
Direct
0.0000 0.0000 0.0000
0.0000 0.5000 0.5000
0.5000 0.0000 0.5000
0.5000 0.5000 0.0000
0.0000 0.0000 0.5000
0.0000 0.5000 0.0000
0.5000 0.0000 0.0000
0.5000 0.5000 0.5000
0.2500 0.2500 0.7500
0.2500 0.7500 0.2500
0.7500 0.2500 0.2500
0.7500 0.7500 0.7500

=====

Energy ordering: version a at the bottom, the next structure 171 meV/atom above.

=====

Version a
GGA-PBE KBeTc, relaxed; magnetization = 2.13 μB/f.u.; symmetry = F-43m
1.0
6.4099 0.0000 0.0000
0.0000 6.4099 0.0000
0.0000 0.0000 6.4099
K Be Tc
4 4 4
Direct
0.0000 0.0000 0.0000
0.0000 0.5000 0.5000
0.5000 0.0000 0.5000
0.5000 0.5000 0.0000
0.2500 0.2500 0.2500
0.2500 0.7500 0.7500
0.7500 0.2500 0.7500
0.7500 0.7500 0.2500
0.0000 0.0000 0.5000
0.0000 0.5000 0.0000
0.5000 0.0000 0.0000
0.5000 0.5000 0.5000

=====

Version b
GGA-PBE KBeTc, relaxed; magnetization = 2.00 μB/f.u.; symmetry = F-43m
1.0
6.4373 0.0000 0.0000
0.0000 6.4373 0.0000
0.0000 0.0000 6.4373
K Be Tc
4 4 4
Direct
0.0000 0.0000 0.0000
0.0000 0.5000 0.5000
0.5000 0.0000 0.5000
0.5000 0.5000 0.0000
0.0000 0.0000 0.5000
0.0000 0.5000 0.0000
0.5000 0.0000 0.0000
0.5000 0.5000 0.5000
0.2500 0.2500 0.7500
0.2500 0.7500 0.2500
0.7500 0.2500 0.2500
0.7500 0.7500 0.7500

=====

Energy ordering: version a at the bottom, the next structure 128 meV/atom above.

=====

Version a
GGA-PBE LaLuBe, relaxed; magnetization = 0.00 μB/f.u.; symmetry = F-43m
1.0
6.9064 0.0000 0.0000
0.0000 6.9064 0.0000
0.0000 0.0000 6.9064
La Lu Be
4 4 4
Direct
0.0000 0.0000 0.0000
0.0000 0.5000 0.5000
0.5000 0.0000 0.5000
0.5000 0.5000 0.0000
0.2500 0.2500 0.2500
0.2500 0.7500 0.7500
0.7500 0.2500 0.7500
0.7500 0.7500 0.2500
0.2500 0.2500 0.7500
0.2500 0.7500 0.2500
0.7500 0.2500 0.2500
0.7500 0.7500 0.7500

=====

Version b
GGA-PBE LaLuBe, relaxed; magnetization = 0.00 μB/f.u.; symmetry = F-43m
1.0
6.8577 0.0000 0.0000
0.0000 6.8577 0.0000
0.0000 0.0000 6.8577
La Lu Be
4 4 4
Direct
0.0000 0.0000 0.0000
0.0000 0.5000 0.5000
0.5000 0.0000 0.5000
0.5000 0.5000 0.0000
0.0000 0.0000 0.5000
0.0000 0.5000 0.0000
0.5000 0.0000 0.0000
0.5000 0.5000 0.5000
0.2500 0.2500 0.2500
0.2500 0.7500 0.7500
0.7500 0.2500 0.7500
0.7500 0.7500 0.2500

=====

Energy ordering: version b at the bottom, the next structure 644 meV/atom above.

=====

Version a
GGA-PBE LaLuBePd, relaxed; magnetization = 0.00 μB/f.u.; symmetry = F-43m
1.0
7.0617 0.0000 0.0000
0.0000 7.0617 0.0000
0.0000 0.0000 7.0617
La Lu Be Pd
4 4 4 4
Direct
0.0000 0.0000 0.0000
0.0000 0.5000 0.5000
0.5000 0.0000 0.5000
0.5000 0.5000 0.0000
0.0000 0.0000 0.5000
0.0000 0.5000 0.0000
0.5000 0.0000 0.0000
0.5000 0.5000 0.5000
0.2500 0.2500 0.2500
0.2500 0.7500 0.7500
0.7500 0.2500 0.7500
0.7500 0.7500 0.2500
0.2500 0.2500 0.7500
0.2500 0.7500 0.2500
0.7500 0.2500 0.2500
0.7500 0.7500 0.7500

=====

Version b
GGA-PBE LaLuBePd, relaxed; magnetization = 0.00 μB/f.u.; symmetry = F-43m
1.0
6.8244 0.0000 0.0000
0.0000 6.8244 0.0000
0.0000 0.0000 6.8244
La Lu Be Pd
4 4 4 4
Direct
0.0000 0.0000 0.0000
0.0000 0.5000 0.5000
0.5000 0.0000 0.5000
0.5000 0.5000 0.0000
0.2500 0.2500 0.7500
0.2500 0.7500 0.2500
0.7500 0.2500 0.2500
0.7500 0.7500 0.7500
0.0000 0.0000 0.5000
0.0000 0.5000 0.0000
0.5000 0.0000 0.0000
0.5000 0.5000 0.5000
0.2500 0.2500 0.2500
0.2500 0.7500 0.7500
0.7500 0.2500 0.7500
0.7500 0.7500 0.2500

=====

Energy ordering: version a at the bottom, the next structure 184 meV/atom above.

=====

Version a
GGA-PBE LaBeNbOs, relaxed; magnetization = 0.00 μB/f.u.; symmetry = F-43m
1.0
6.5425 0.0000 0.0000
0.0000 6.5425 0.0000
0.0000 0.0000 6.5425
La Be Nb Os
4 4 4 4
Direct
0.0000 0.0000 0.0000
0.0000 0.5000 0.5000
0.5000 0.0000 0.5000
0.5000 0.5000 0.0000
0.2500 0.2500 0.7500
0.2500 0.7500 0.2500
0.7500 0.2500 0.2500
0.7500 0.7500 0.7500
0.2500 0.2500 0.2500
0.2500 0.7500 0.7500
0.7500 0.2500 0.7500
0.7500 0.7500 0.2500
0.0000 0.0000 0.5000
0.0000 0.5000 0.0000
0.5000 0.0000 0.0000
0.5000 0.5000 0.5000

=====

Version b
GGA-PBE LaBeNbOs, relaxed; magnetization = 0.02 μB/f.u.; symmetry = F-43m
1.0
6.4680 0.0000 0.0000
0.0000 6.4680 0.0000
0.0000 0.0000 6.4680
La Be Nb Os
4 4 4 4
Direct
0.0000 0.0000 0.0000
0.0000 0.5000 0.5000
0.5000 0.0000 0.5000
0.5000 0.5000 0.0000
0.0000 0.0000 0.5000
0.0000 0.5000 0.0000
0.5000 0.0000 0.0000
0.5000 0.5000 0.5000
0.2500 0.2500 0.7500
0.2500 0.7500 0.2500
0.7500 0.2500 0.2500
0.7500 0.7500 0.7500
0.2500 0.2500 0.2500
0.2500 0.7500 0.7500
0.7500 0.2500 0.7500
0.7500 0.7500 0.2500

=====

Version c
GGA-PBE LaBeNbOs, relaxed; magnetization = 0.12 μB/f.u.; symmetry = F-43m
1.0
6.7003 0.0000 0.0000
0.0000 6.7003 0.0000
0.0000 0.0000 6.7003
La Be Nb Os
4 4 4 4
Direct
0.0000 0.0000 0.0000
0.0000 0.5000 0.5000
0.5000 0.0000 0.5000
0.5000 0.5000 0.0000
0.2500 0.2500 0.2500
0.2500 0.7500 0.7500
0.7500 0.2500 0.7500
0.7500 0.7500 0.2500
0.0000 0.0000 0.5000
0.0000 0.5000 0.0000
0.5000 0.0000 0.0000
0.5000 0.5000 0.5000
0.2500 0.2500 0.7500
0.2500 0.7500 0.2500
0.7500 0.2500 0.2500
0.7500 0.7500 0.7500

=====

Energy ordering: version a at the bottom, the next structure 125 meV/atom above.

=====

Version a
GGA-PBE LaBePd, relaxed; magnetization = 0.00 μB/f.u.; symmetry = F-43m
1.0
6.7519 0.0000 0.0000
0.0000 6.7519 0.0000
0.0000 0.0000 6.7519
La Be Pd
4 4 4
Direct
0.0000 0.0000 0.0000
0.0000 0.5000 0.5000
0.5000 0.0000 0.5000
0.5000 0.5000 0.0000
0.2500 0.2500 0.7500
0.2500 0.7500 0.2500
0.7500 0.2500 0.2500
0.7500 0.7500 0.7500
0.2500 0.2500 0.2500
0.2500 0.7500 0.7500
0.7500 0.2500 0.7500
0.7500 0.7500 0.2500

=====

Version b
GGA-PBE LaBePd, relaxed; magnetization = 0.00 μB/f.u.; symmetry = F-43m
1.0
6.5443 0.0000 0.0000
0.0000 6.5443 0.0000
0.0000 0.0000 6.5443
La Be Pd
4 4 4
Direct
0.0000 0.0000 0.0000
0.0000 0.5000 0.5000
0.5000 0.0000 0.5000
0.5000 0.5000 0.0000
0.0000 0.0000 0.5000
0.0000 0.5000 0.0000
0.5000 0.0000 0.0000
0.5000 0.5000 0.5000
0.2500 0.2500 0.7500
0.2500 0.7500 0.2500
0.7500 0.2500 0.2500
0.7500 0.7500 0.7500

=====

Version c
GGA-PBE LaBePd, relaxed; magnetization = 0.00 μB/f.u.; symmetry = F-43m
1.0
6.3776 0.0000 0.0000
0.0000 6.3776 0.0000
0.0000 0.0000 6.3776
La Be Pd
4 4 4
Direct
0.0000 0.0000 0.0000
0.0000 0.5000 0.5000
0.5000 0.0000 0.5000
0.5000 0.5000 0.0000
0.2500 0.2500 0.2500
0.2500 0.7500 0.7500
0.7500 0.2500 0.7500
0.7500 0.7500 0.2500
0.0000 0.0000 0.5000
0.0000 0.5000 0.0000
0.5000 0.0000 0.0000
0.5000 0.5000 0.5000

=====

Energy ordering: version b at the bottom, the next structure 44 meV/atom above.